First-principles (GGA-PBE) data for a geometry-optimized Cs2ScCBr6 structure, as listed in the Alexandria database.

## Properties
* formation energy without anion corrections: -0.85 eV per atom
* E_tot: -3.582 eV/atom
* magnetic moment: 0.10 μB/atom
* crystal system: tetragonal

Unit cell a=7.3735 b=7.3735 c=8.0986 alpha=62.92 beta=62.92 gamma=90.00
Closest atoms and distances in Å follow each position.
Sites, in units of the cell vectors:
Br  0.2599  0.2599  0.0000  1 C 2.50, 1 Sc 2.71
Br  0.2599  0.7401  0.0000  1 C 2.50, 1 Sc 2.71
Br  0.7401  0.7401  0.0000  1 C 2.50, 1 Sc 2.71
Br  0.7879  0.7879  0.4243  1 Sc 2.63
Br  0.2121  0.2121  0.5757  1 Sc 2.63
Br  0.7401  0.2599  0.0000  1 C 2.50, 1 Sc 2.71
Cs  0.2500  0.7500  0.5000  12 Br 3.72-4.05
Cs  0.7500  0.2500  0.5000  12 Br 3.72-4.05
Sc  0.0000  0.0000  0.0000  6 Br 2.63-2.71
C  0.5000  0.5000  0.0000  4 Br 2.50

***

First-principles (GGA-PBE) data for a geometry-optimized Tb5Bi4Se structure, as listed in the Alexandria database.

## Properties
* formation energy without anion corrections: -1.05 eV per atom
* relative energy among the computed polymorphs: 0.000 eV/atom
* E_tot: -5.264 eV/atom
* magnetic moment: 0.00 μB/atom
* crystal system: tetragonal

Unit cell a=6.2716 b=7.6507 c=7.6507 alpha=80.33 beta=65.80 gamma=65.80
Closest atoms and distances in Å follow each position.
Sites, in units of the cell vectors:
Bi  0.5962  0.6029  0.2067  6 Tb 3.12-3.18
Bi  0.4058  0.3971  0.7933  6 Tb 3.12-3.18
Bi  0.8029  0.7933  0.6029  6 Tb 3.12-3.18
Bi  0.1991  0.2067  0.3971  6 Tb 3.12-3.18
Tb  0.5012  0.0000  0.0000  4 Bi 3.12, 2 Se 3.14
Tb  0.1007  0.6115  0.1892  1 Se 3.02, 5 Bi 3.14-3.18
Tb  0.9014  0.3885  0.8108  1 Se 3.02, 5 Bi 3.14-3.18
Tb  0.2898  0.8108  0.6115  1 Se 3.02, 5 Bi 3.14-3.18
Tb  0.7122  0.1892  0.3885  1 Se 3.02, 5 Bi 3.14-3.18
Se  0.0011  0.0000  0.0000  6 Tb 3.02-3.14

***

First-principles (GGA-PBE) data for a geometry-optimized Ho5TlAu structure, as listed in the Alexandria database.

## Properties
* E_tot: -4.288 eV/atom
* ΔH_f (0 K): -0.21 eV/atom
* magnetic moment: 0.00 μB/atom
* crystal system: monoclinic

Unit cell a=6.5759 b=6.5759 c=9.7300 alpha=85.95 beta=85.95 gamma=91.98
Closest atoms and distances in Å follow each position.
Sites, in units of the cell vectors:
Tl  0.5299  0.4701  0.2500  7 Ho 3.07-3.33
Tl  0.4701  0.5299  0.7500  7 Ho 3.07-3.33
Ho  0.9220  0.3819  0.8460  1 Au 2.91
Ho  0.6113  0.7773  0.9965  1 Au 2.91, 2 Tl 3.08-3.17
Ho  0.7773  0.6113  0.4965  1 Au 2.91, 2 Tl 3.08-3.17
Ho  0.3887  0.2227  0.0035  1 Au 2.91, 2 Tl 3.08-3.17
Ho  0.1458  0.8542  0.7500  2 Au 2.80, 1 Tl 3.07
Ho  0.6181  0.0780  0.6540  1 Au 2.91
Ho  0.3819  0.9220  0.3460  1 Au 2.91
Ho  0.0780  0.6181  0.1540  1 Au 2.91
Ho  0.8542  0.1458  0.2500  2 Au 2.80, 1 Tl 3.07
Ho  0.2227  0.3887  0.5035  1 Au 2.91, 2 Tl 3.08-3.17
Au  0.0000  0.0000  0.0000  6 Ho 2.80-2.91
Au  0.0000  0.0000  0.5000  6 Ho 2.80-2.91

***

First-principles (GGA-PBE) data for a geometry-optimized La2MoPb structure, as listed in the Alexandria database.

## Properties
* E_tot: -5.877 eV/atom
* ΔH_f (0 K): 0.22 eV/atom
* magnetic moment: 0.00 μB/atom
* crystal system: tetragonal

Unit cell a=3.7800 b=3.7800 c=7.3114 alpha=90.00 beta=90.00 gamma=90.00
Closest atoms and distances in Å follow each position.
Sites, in units of the cell vectors:
Mo  0.0000  0.0000  0.5277  4 Pb 2.99, 5 La 3.24-3.33
La  0.0000  0.0000  0.9834  4 Pb 3.33, 1 Mo 3.33, 4 La 3.43
La  0.5000  0.5000  0.2769  1 Pb 3.18, 4 Mo 3.24, 4 La 3.43
Pb  0.5000  0.5000  0.7119  4 Mo 2.99, 5 La 3.18-3.33

***

First-principles (GGA-PBE) data for a geometry-optimized BeFeRu2 structure, as listed in the Alexandria database.

## Properties
* E_tot: -7.749 eV/atom
* ΔH_f (0 K): -0.06 eV/atom
* magnetic moment: 0.49 μB/atom
* crystal system: monoclinic

Unit cell a=4.7672 b=4.7672 c=4.0241 alpha=64.97 beta=64.97 gamma=35.14
Closest atoms and distances in Å follow each position.
Sites, in units of the cell vectors:
Ru  0.2343  0.2343  0.2646  2 Be 2.43, 4 Fe 2.49, 2 Ru 2.63
Ru  0.0043  0.0043  0.9965  4 Be 2.47-2.48, 2 Fe 2.59, 4 Ru 2.63-2.75
Be  0.4932  0.4932  0.5083  2 Fe 2.33, 6 Ru 2.43-2.48
Fe  0.7682  0.7682  0.7307  2 Be 2.33, 6 Ru 2.49-2.59

***

First-principles (GGA-PBE) data for a geometry-optimized Li2AlPd2 structure, as listed in the Alexandria database.

## Properties
* relative energy among the computed polymorphs: 0.255 eV/atom
* E_tot: -3.957 eV/atom
* ΔH_f (0 K): -0.37 eV/atom
* magnetic moment: 0.00 μB/atom
* crystal system: tetragonal

Unit cell a=3.1740 b=3.1740 c=7.4168 alpha=77.64 beta=77.64 gamma=90.00
Closest atoms and distances in Å follow each position.
Sites, in units of the cell vectors:
Pd  0.6002  0.6002  0.7997  4 Li 2.65, 4 Al 2.65, 1 Pd 2.83
Pd  0.3998  0.3998  0.2003  4 Li 2.65, 4 Al 2.65, 1 Pd 2.83
Li  0.2500  0.7500  0.5000  4 Li 2.24
Li  0.7500  0.2500  0.5000  4 Li 2.24
Al  0.0000  0.0000  0.0000  8 Pd 2.65